A plane-wave DFT calculation with PBE was carried out for a geometry-optimized TlZnRu2 structure.

Geometry as CIF:
```
data_TlZnRu2
_cell_length_a 4.052
_cell_length_b 4.052
_cell_length_c 7.828
_cell_angle_alpha 90.00
_cell_angle_beta 90.00
_cell_angle_gamma 90.00
_space_group_name_H-M_alt 'I -4 m 2'
_space_group_IT_number 119
_space_group_name_Hall 'I -4 -2'
loop_
_atom_site_label
_atom_site_type_symbol
_atom_site_fract_x
_atom_site_fract_y
_atom_site_fract_z
Tl1 Tl 0.000 0.000 0.000
Zn1 Zn 0.000 0.500 0.750
Ru1 Ru 0.000 0.000 0.500
Ru2 Ru 0.000 0.500 0.250
```

Results
Density of states at the Fermi level = 1.281 states/eV/atom
ΔE to the lowest computed polymorph = 0.2374 eV/atom
Energy = -40.5 eV per cell
Total moment = 0.00 μB per atom